a | Below is SrZnRe after structural relaxation, with properties calculated at the PBE level.

As for the crystal system: cubic. As for the magnetic moment: 12.194 Bohr magnetons per cell.

It has space group F-43m (No. 216), with a = 7.044 Å, b = 7.044 Å, c = 7.044 Å, α = 90.00°, β = 90.00° and γ = 90.00°. The asymmetric unit holds Sr at (0.000, 0.000, 0.000), Zn at (0.250, 0.250, 0.750) and Re at (0.250, 0.250, 0.250).

---

b | Below is SrZnRe after structural relaxation, with properties calculated at the PBE level.

As for the crystal system: trigonal. As for the magnetic moment: 0.000 Bohr magnetons per cell.

It has space group P3m1 (No. 156), with a = 2.9930 Å, b = 2.9930 Å, c = 7.6546 Å, α = 90.00°, β = 90.00° and γ = 120.00°. The asymmetric unit holds Sr at (0.0000, 0.0000, 0.0000), Zn at (0.6667, 0.3333, 0.3747) and Re at (0.3333, 0.6667, 0.6513).

---

c | Below is SrZnRe after structural relaxation, with properties calculated at the PBE level.

As for the crystal system: orthorhombic. As for the magnetic moment: 0.000 Bohr magnetons per cell.

It has space group Imm2 (No. 44), with a = 2.919 Å, b = 4.013 Å, c = 10.977 Å, α = 90.00°, β = 90.00° and γ = 90.00°. The asymmetric unit holds Sr at (0.000, 0.000, 0.000), Zn at (0.000, 0.000, 0.717) and Re at (0.000, 0.000, 0.294).

---

d | Below is SrZnRe after structural relaxation, with properties calculated at the PBE level.

As for the crystal system: tetragonal. As for the magnetic moment: 0.697 Bohr magnetons per cell.

It has space group I4mm (No. 107), with a = 2.910 Å, b = 2.910 Å, c = 14.026 Å, α = 90.00°, β = 90.00° and γ = 90.00°. The asymmetric unit holds Sr at (0.000, 0.000, 0.000), Zn at (0.000, 0.000, 0.686) and Re at (0.000, 0.000, 0.318).

---

In eV/atom, relative to the most stable structure: a 1.188; b 0.321; c 0.000; d 0.135.

---

a | Below is SrZnRe after structural relaxation, with properties calculated at the PBE level.

As for the crystal system: hexagonal. As for the magnetic moment: 0.000 Bohr magnetons per cell.

It has space group P-6m2 (No. 187), with a = 4.9705 Å, b = 4.9705 Å, c = 2.8506 Å, α = 90.00°, β = 90.00° and γ = 120.00°. The asymmetric unit holds Sr at (0.0000, 0.0000, 0.0000), Zn at (0.6667, 0.3333, 0.5000) and Re at (0.3333, 0.6667, 0.5000).

---

b | Below is SrZnRe after structural relaxation, with properties calculated at the PBE level.

As for the crystal system: cubic. As for the magnetic moment: 9.663 Bohr magnetons per cell.

It has space group F-43m (No. 216), with a = 6.680 Å, b = 6.680 Å, c = 6.680 Å, α = 90.00°, β = 90.00° and γ = 90.00°. The asymmetric unit holds Sr at (0.000, 0.000, 0.000), Zn at (0.250, 0.250, 0.250) and Re at (0.000, 0.000, 0.500).

---

In eV/atom, relative to the most stable structure: a 0.000; b 0.404.

---

a | Below is SrZr2Re after structural relaxation, with properties calculated at the PBE level.

As for the crystal system: tetragonal. As for the magnetic moment: 0.000 Bohr magnetons per cell.

It has space group P4mm (No. 99), with a = 3.619 Å, b = 3.619 Å, c = 7.832 Å, α = 90.00°, β = 90.00° and γ = 90.00°. The asymmetric unit holds Sr at (0.000, 0.000, 0.000), Zr at (0.000, 0.000, 0.566), Zr at (0.500, 0.500, 0.359) and Re at (0.500, 0.500, 0.710).

---

b | Below is SrZr2Re after structural relaxation, with properties calculated at the PBE level.

As for the crystal system: orthorhombic. As for the magnetic moment: 0.000 Bohr magnetons per cell.

It has space group Immm (No. 71), with a = 3.471 Å, b = 5.652 Å, c = 10.168 Å, α = 90.00°, β = 90.00° and γ = 90.00°. The asymmetric unit holds Sr at (0.000, 0.000, 0.000), Zr at (0.000, 0.500, 0.199) and Re at (0.000, 0.000, 0.500).

---

In eV/atom, relative to the most stable structure: a 0.000; b 0.039.

---

a | Below is SrZrRe2 after structural relaxation, with properties calculated at the PBE level.

As for the crystal system: tetragonal. As for the magnetic moment: 0.000 Bohr magnetons per cell.

It has space group P4/mmm (No. 123), with a = 5.053 Å, b = 5.053 Å, c = 3.155 Å, α = 90.00°, β = 90.00° and γ = 90.00°. The asymmetric unit holds Sr at (0.000, 0.000, 0.000), Zr at (0.500, 0.500, 0.000) and Re at (0.000, 0.500, 0.500).

---

b | Below is SrZrRe2 after structural relaxation, with properties calculated at the PBE level.

As for the crystal system: cubic. As for the magnetic moment: 0.001 Bohr magnetons per cell.

It has space group F-43m (No. 216), with a = 6.754 Å, b = 6.754 Å, c = 6.754 Å, α = 90.00°, β = 90.00° and γ = 90.00°. The asymmetric unit holds Sr at (0.000, 0.000, 0.000), Zr at (0.250, 0.250, 0.250), Re at (0.000, 0.000, 0.500) and Re at (0.250, 0.250, 0.750).

---

In eV/atom, relative to the most stable structure: a 0.191; b 0.000.

---

a | Below is SrZrRe after structural relaxation, with properties calculated at the PBE level.

As for the crystal system: cubic. As for the magnetic moment: 2.769 Bohr magnetons per cell.

It has space group F-43m (No. 216), with a = 6.755 Å, b = 6.755 Å, c = 6.755 Å, α = 90.00°, β = 90.00° and γ = 90.00°. The asymmetric unit holds Sr at (0.000, 0.000, 0.000), Zr at (0.250, 0.250, 0.250) and Re at (0.250, 0.250, 0.750).

---

b | Below is SrZrRe after structural relaxation, with properties calculated at the PBE level.

As for the crystal system: cubic. As for the magnetic moment: 0.000 Bohr magnetons per cell.

It has space group F-43m (No. 216), with a = 6.760 Å, b = 6.760 Å, c = 6.760 Å, α = 90.00°, β = 90.00° and γ = 90.00°. The asymmetric unit holds Sr at (0.000, 0.000, 0.000), Zr at (0.000, 0.000, 0.500) and Re at (0.250, 0.250, 0.750).

---

In eV/atom, relative to the most stable structure: a 1.255; b 0.000.

---

a | Below is Sr3ZrRe after structural relaxation, with properties calculated at the PBE level.

As for the crystal system: cubic. As for the magnetic moment: 0.001 Bohr magnetons per cell.

It has space group Pm-3m (No. 221), with a = 5.733 Å, b = 5.733 Å, c = 5.733 Å, α = 90.00°, β = 90.00° and γ = 90.00°. The asymmetric unit holds Sr at (0.000, 0.000, 0.500), Zr at (0.500, 0.500, 0.500) and Re at (0.000, 0.000, 0.000).

---

b | Below is Sr3ZrRe after structural relaxation, with properties calculated at the PBE level.

As for the crystal system: cubic. As for the magnetic moment: 0.989 Bohr magnetons per cell.

It has space group Pm-3m (No. 221), with a = 5.764 Å, b = 5.764 Å, c = 5.764 Å, α = 90.00°, β = 90.00° and γ = 90.00°. The asymmetric unit holds Sr at (0.000, 0.000, 0.500), Zr at (0.000, 0.000, 0.000) and Re at (0.500, 0.500, 0.500).

---

In eV/atom, relative to the most stable structure: a 0.000; b 0.805.

---

a | Below is Ta3Re5 after structural relaxation, with properties calculated at the PBE level.

As for the crystal system: hexagonal. As for the magnetic moment: 0.000 Bohr magnetons per cell.

It has space group P6_3/mcm (No. 193), with a = 7.7507 Å, b = 7.7507 Å, c = 5.1254 Å, α = 90.00°, β = 90.00° and γ = 120.00°. The asymmetric unit holds Ta at (0.0000, 0.3936, 0.2500), Re at (0.0000, 0.2179, 0.7500) and Re at (0.3333, 0.6667, 0.0000).

---

b | Below is Ta3Re5 after structural relaxation, with properties calculated at the PBE level.

As for the crystal system: monoclinic. As for the magnetic moment: 0.000 Bohr magnetons per cell.

It has space group C2/m (No. 12), with a = 5.079 Å, b = 12.499 Å, c = 8.735 Å, α = 90.00°, β = 105.66° and γ = 90.00°. The asymmetric unit holds Ta at (0.000, 0.180, 0.000), Ta at (0.000, 0.245, 0.500), Ta at (0.209, 0.500, 0.409), Re at (0.091, 0.337, 0.200), Re at (0.164, 0.103, 0.294) and Re at (0.244, 0.000, 0.945).

---

c | Below is Ta3Re5 after structural relaxation, with properties calculated at the PBE level.

As for the crystal system: orthorhombic. As for the magnetic moment: 0.000 Bohr magnetons per cell.

It has space group Cmmm (No. 65), with a = 6.364 Å, b = 8.978 Å, c = 4.496 Å, α = 90.00°, β = 90.00° and γ = 90.00°. The asymmetric unit holds Ta at (0.000, 0.000, 0.000), Ta at (0.000, 0.253, 0.500), Re at (0.000, 0.500, 0.000), Re at (0.249, 0.000, 0.500) and Re at (0.250, 0.250, 0.000).

---

In eV/atom, relative to the most stable structure: a 0.428; b 0.294; c 0.000.

---

a | Below is Ta2Re3 after structural relaxation, with properties calculated at the PBE level.

As for the crystal system: orthorhombic. As for the magnetic moment: 0.000 Bohr magnetons per cell.

It has space group Fdd2 (No. 43), with a = 9.425 Å, b = 13.143 Å, c = 5.475 Å, α = 90.00°, β = 90.00° and γ = 90.00°. The asymmetric unit holds Ta at (0.070, 0.302, 0.000), Re at (0.000, 0.000, 0.350) and Re at (0.057, 0.383, 0.489).

---

b | Below is Ta2Re3 after structural relaxation, with properties calculated at the PBE level.

As for the crystal system: trigonal. As for the magnetic moment: 0.000 Bohr magnetons per cell.

It has space group P-3m1 (No. 164), with a = 4.3908 Å, b = 4.3908 Å, c = 5.4144 Å, α = 90.00°, β = 90.00° and γ = 120.00°. The asymmetric unit holds Ta at (0.3333, 0.6667, 0.3285), Re at (0.0000, 0.0000, 0.5000) and Re at (0.3333, 0.6667, 0.8420).

---

In eV/atom, relative to the most stable structure: a 0.000; b 0.246.

---

a | Below is Ta4Re5 after structural relaxation, with properties calculated at the PBE level.

As for the crystal system: hexagonal. As for the magnetic moment: 0.000 Bohr magnetons per cell.

It has space group P6_3/mcm (No. 193), with a = 8.1060 Å, b = 8.1060 Å, c = 5.2561 Å, α = 90.00°, β = 90.00° and γ = 120.00°. The asymmetric unit holds Ta at (0.0000, 0.0000, 0.0000), Ta at (0.0000, 0.3674, 0.2500), Re at (0.0000, 0.3045, 0.7500) and Re at (0.3333, 0.6667, 0.0000).

---

b | Below is Ta4Re5 after structural relaxation, with properties calculated at the PBE level.

As for the crystal system: tetragonal. As for the magnetic moment: 0.000 Bohr magnetons per cell.

It has space group I4/mmm (No. 139), with a = 9.610 Å, b = 9.610 Å, c = 3.173 Å, α = 90.00°, β = 90.00° and γ = 90.00°. The asymmetric unit holds Ta at (0.000, 0.326, 0.000), Re at (0.000, 0.000, 0.000) and Re at (0.165, 0.165, 0.500).

---

In eV/atom, relative to the most stable structure: a 0.270; b 0.000.

---

a | Below is Ta5Re4 after structural relaxation, with properties calculated at the PBE level.

As for the crystal system: hexagonal. As for the magnetic moment: 0.000 Bohr magnetons per cell.

It has space group P6_3/mcm (No. 193), with a = 8.0849 Å, b = 8.0849 Å, c = 5.4171 Å, α = 90.00°, β = 90.00° and γ = 120.00°. The asymmetric unit holds Ta at (0.0000, 0.2933, 0.2500), Ta at (0.3333, 0.6667, 0.0000), Re at (0.0000, 0.0000, 0.0000) and Re at (0.0000, 0.3732, 0.7500).

---

b | Below is Ta5Re4 after structural relaxation, with properties calculated at the PBE level.

As for the crystal system: tetragonal. As for the magnetic moment: 0.000 Bohr magnetons per cell.

It has space group I4/mmm (No. 139), with a = 9.648 Å, b = 9.648 Å, c = 3.205 Å, α = 90.00°, β = 90.00° and γ = 90.00°. The asymmetric unit holds Ta at (0.000, 0.000, 0.000), Ta at (0.167, 0.167, 0.500) and Re at (0.000, 0.337, 0.000).

---

In eV/atom, relative to the most stable structure: a 0.260; b 0.000.

---

a | Below is TaReTc3 after structural relaxation, with properties calculated at the PBE level.

As for the crystal system: cubic. As for the magnetic moment: 0.000 Bohr magnetons per cell.

It has space group Pm-3m (No. 221), with a = 4.620 Å, b = 4.620 Å, c = 4.620 Å, α = 90.00°, β = 90.00° and γ = 90.00°. The asymmetric unit holds Ta at (0.000, 0.000, 0.000), Re at (0.500, 0.500, 0.500) and Tc at (0.000, 0.500, 0.500).

---

b | Below is TaReTc3 after structural relaxation, with properties calculated at the PBE level.

As for the crystal system: cubic. As for the magnetic moment: 0.000 Bohr magnetons per cell.

It has space group Pm-3m (No. 221), with a = 4.608 Å, b = 4.608 Å, c = 4.608 Å, α = 90.00°, β = 90.00° and γ = 90.00°. The asymmetric unit holds Ta at (0.000, 0.000, 0.000), Re at (0.500, 0.500, 0.500) and Tc at (0.000, 0.000, 0.500).

---

In eV/atom, relative to the most stable structure: a 0.000; b 0.554.